Entry from Alexandria: crystalline Ac3Nd2Zn2Pd4 at its relaxed geometry (PBE).

Summary:
The density of states at the Fermi level comes out at 8.2 states/eV/cell. Its final energy is -4.72 eV per atom. The value obtained for the density is 8.38 g cm⁻³.

POSCAR file:
```
Ac3Nd2Zn2Pd4
1.0
4.5586 0.0000 0.0000
-2.2793 3.9479 0.0000
0.0000 0.0000 16.8089
Pd Ac Nd Zn
4 3 2 2
Direct
0.6667 0.3333 0.6481
0.6667 0.3333 0.1216
0.3333 0.6667 0.8784
0.3333 0.6667 0.3519
0.0000 0.0000 0.7568
0.0000 0.0000 0.2432
0.0000 0.0000 0.0000
0.3333 0.6667 0.5748
0.6667 0.3333 0.4252
0.6667 0.3333 0.8773
0.3333 0.6667 0.1227
```

=====

Entry from Alexandria: crystalline Cs2KAlBr6 at its relaxed geometry (PBE).

Summary:
For the uncorrected formation energy, the calculation gives -1.520 eV per atom. The density of states at the Fermi level comes out at 0.0 states/eV/cell. Its final energy is -3.18 eV per atom. The value obtained for the density is 3.16 g cm⁻³.

POSCAR file:
```
Cs2KAlBr6
1.0
8.0033 0.0000 0.0000
0.0000 7.8465 0.0000
0.0000 -3.9233 6.7953
Br Cs K Al
6 2 1 1
Direct
0.8151 0.1533 0.3065
0.1849 0.3065 0.1533
0.1849 0.8467 0.1533
0.8151 0.1533 0.8467
0.8151 0.6935 0.8467
0.1849 0.8467 0.6935
0.1583 0.3333 0.6667
0.8417 0.6667 0.3333
0.5000 0.0000 0.0000
0.0000 0.0000 0.0000
```

=====

Entry from Alexandria: crystalline UMn2Si at its relaxed geometry (PBE).

Summary:
For the uncorrected formation energy, the calculation gives -0.387 eV per atom. The density of states at the Fermi level comes out at 6.9 states/eV/cell. Its final energy is -9.15 eV per atom. The value obtained for the density is 10.81 g cm⁻³.

POSCAR file:
```
UMn2Si
1.0
-4.3331 0.1190 -0.4620
-0.1707 -4.1582 0.5301
2.0789 0.7457 6.5182
Mn U Si
4 2 2
Direct
0.5682 0.2500 0.9197
0.2365 0.2500 0.5095
0.4318 0.7500 0.0803
0.7635 0.7500 0.4905
0.0527 0.7500 0.2108
0.9473 0.2500 0.7892
0.6114 0.2500 0.3001
0.3886 0.7500 0.6999
```

=====

Entry from Alexandria: crystalline Th6Te3PS2 at its relaxed geometry (PBE).

Summary:
For the uncorrected formation energy, the calculation gives -1.413 eV per atom. The density of states at the Fermi level comes out at 11.0 states/eV/cell. Its final energy is -7.05 eV per atom. The value obtained for the density is 9.36 g cm⁻³.

POSCAR file:
```
Th6Te3PS2
1.0
-6.0266 3.5064 -1.8577
-0.4194 -6.0628 3.8900
2.5296 4.7942 5.5139
Th P Te S
6 1 3 2
Direct
0.4031 0.0696 0.2084
0.2647 0.2647 0.7928
0.0696 0.4031 0.2084
0.5969 0.9304 0.7916
0.9304 0.5969 0.7916
0.7353 0.7353 0.2072
0.0000 0.0000 0.0000
0.1654 0.8346 0.5000
0.8346 0.1654 0.5000
0.5000 0.5000 0.5000
0.6671 0.3329 0.0000
0.3329 0.6671 0.0000
```

=====

Entry from Alexandria: crystalline CaDy2Zn at its relaxed geometry (PBE).

Summary:
The density of states at the Fermi level comes out at 5.0 states/eV/cell. As for the offset from the most stable computed form: 105 meV/atom. Its final energy is -3.12 eV per atom. The value obtained for the density is 5.84 g cm⁻³.

POSCAR file:
```
CaDy2Zn
1.0
-1.3637 -3.3796 -0.3083
2.2550 -2.8542 -0.3805
0.6673 -3.1854 10.2725
Zn Dy Ca
1 2 1
Direct
0.0000 0.0000 0.0000
0.2659 0.2659 0.2023
0.7341 0.7341 0.7977
0.5000 0.5000 0.5000
```

=====

Entry from Alexandria: crystalline GaMoBr2 at its relaxed geometry (PBE).

Summary:
For the uncorrected formation energy, the calculation gives 0.626 eV per atom. The density of states at the Fermi level comes out at 2.5 states/eV/cell. As for the offset from the most stable computed form: 489 meV/atom. Its final energy is -3.67 eV per atom. The value obtained for the density is 6.71 g cm⁻³.

POSCAR file:
```
GaMoBr2
1.0
0.0000 3.4272 3.4272
3.4272 0.0000 3.4272
3.4272 3.4272 0.0000
Br Ga Mo
2 1 1
Direct
0.2500 0.2500 0.2500
0.7500 0.7500 0.7500
0.0000 0.0000 0.0000
0.5000 0.5000 0.5000
```

=====

Entry from Alexandria: crystalline Pm2Si2F at its relaxed geometry (PBE).

Summary:
For the uncorrected formation energy, the calculation gives -1.296 eV per atom. The density of states at the Fermi level comes out at 4.8 states/eV/cell. Its final energy is -5.74 eV per atom. The value obtained for the density is 5.24 g cm⁻³.

POSCAR file:
```
Pm2Si2F
1.0
5.7654 0.0000 0.0000
0.0000 6.9795 0.0901
-2.8827 -1.7985 5.7268
Si Pm F
4 4 2
Direct
0.6978 0.9886 0.6458
0.0519 0.5114 0.3542
0.3022 0.0114 0.3542
0.9481 0.4886 0.6458
0.7783 0.1024 0.2557
0.5226 0.3976 0.7443
0.4774 0.6024 0.2557
0.2217 0.8976 0.7443
0.4278 0.2500 0.0000
0.5722 0.7500 0.0000
```

=====

Entry from Alexandria: crystalline La3Al2Rh at its relaxed geometry (PBE).

Summary:
The density of states at the Fermi level comes out at 10.6 states/eV/cell. Its final energy is -5.37 eV per atom. The value obtained for the density is 5.60 g cm⁻³.

POSCAR file:
```
La3Al2Rh
1.0
6.6885 0.4705 1.3865
0.1546 6.7033 1.3865
0.1225 0.1284 7.6424
La Al Rh
6 4 2
Direct
0.7593 0.9149 0.4729
0.0851 0.2407 0.0271
0.6082 0.3918 0.7500
0.3918 0.6082 0.2500
0.9149 0.7593 0.9729
0.2407 0.0851 0.5271
0.4696 0.9335 0.8624
0.5304 0.0665 0.1376
0.0665 0.5304 0.6376
0.9335 0.4696 0.3624
0.3029 0.6971 0.7500
0.6971 0.3029 0.2500
```

=====

Entry from Alexandria: crystalline CrSi2Hg at its relaxed geometry (PBE).

Summary:
For the uncorrected formation energy, the calculation gives 0.198 eV per atom. The density of states at the Fermi level comes out at 1.1 states/eV/cell. Its final energy is -4.99 eV per atom. The value obtained for the density is 7.72 g cm⁻³.

POSCAR file:
```
CrSi2Hg
1.0
-0.3249 4.2320 -0.4158
-2.0582 2.6996 -2.5816
-5.0728 2.7356 2.1244
Hg Cr Si
1 1 2
Direct
0.8126 0.8126 0.7398
0.5565 0.5565 0.2602
0.9236 0.9236 0.0912
0.2073 0.2073 0.4089
```

=====

Entry from Alexandria: crystalline Pr4Y5Mg at its relaxed geometry (PBE).

Summary:
The density of states at the Fermi level comes out at 13.6 states/eV/cell. Its final energy is -5.14 eV per atom. The value obtained for the density is 4.98 g cm⁻³.

POSCAR file:
```
Pr4Y5Mg
1.0
-5.2644 1.4093 2.0813
-1.7476 -4.3844 6.7240
0.5563 6.1490 5.4193
Y Pr Mg
5 4 1
Direct
0.7709 0.0000 0.3687
0.7709 0.3687 0.0000
0.6554 0.0000 0.0000
0.1397 0.6313 0.0000
0.1396 0.0000 0.6313
0.1462 0.3186 0.3186
0.4648 0.3186 0.6814
0.4648 0.6814 0.3186
0.7834 0.6814 0.6814
0.1745 0.0000 0.0000
```

=====

Entry from Alexandria: crystalline Ca2CdMo at its relaxed geometry (PBE).

Summary:
The density of states at the Fermi level comes out at 3.2 states/eV/cell. Its final energy is -3.46 eV per atom. The value obtained for the density is 4.80 g cm⁻³.

POSCAR file:
```
Ca2CdMo
1.0
3.1145 0.0256 0.0000
-0.0289 3.1144 0.0000
0.0000 0.0000 10.2824
Ca Mo Cd
2 1 1
Direct
0.0000 0.0000 0.9557
0.5000 0.5000 0.2872
0.5000 0.5000 0.7287
0.0000 0.0000 0.5284
```

=====

Entry from Alexandria: crystalline Ca2TbTl4 at its relaxed geometry (PBE).

Summary:
The density of states at the Fermi level comes out at 2.6 states/eV/cell. Its final energy is -2.88 eV per atom. The value obtained for the density is 8.06 g cm⁻³.

POSCAR file:
```
Ca2TbTl4
1.0
-1.9121 -5.7018 -2.6330
2.5532 3.8990 -4.6237
4.6242 -1.0295 4.5449
Ca Tb Tl
2 1 4
Direct
0.5000 0.5000 0.0000
0.5000 0.0000 0.5000
0.0000 0.0000 0.0000
0.0000 0.5000 0.0000
0.5000 0.0000 0.0000
0.5000 0.5000 0.5000
0.0000 0.0000 0.5000
```

=====

- Number 1 is which compound?
  Ac3Nd2Zn2Pd4

=====

- What is the density in the eighth record?
  5.60 g cm⁻³

=====

- density of number 10 (Pr4Y5Mg)?
  4.98 g cm⁻³

=====

- The lowest final energy belongs to which entry?
  UMn2Si